Entry 1:
Density functional theory data (PBE) for crystalline Pr4RuI2N at its relaxed geometry.

Results
Uncorrected formation energy: -0.86 eV per atom
DOS(E_F): 0.697 states/eV per atom
Magnetization: 0.0 μB/f.u.
Energy: -5.833 eV per atom

a b c (Å): 4.0250 7.0156 8.3377
angles (deg): 105.61 90.00 90.00
Positions (direct):
Pr 0.5000 0.7839 0.8273
Ru 0.5000 0.5000 0.0000
N 0.0000 0.0000 0.0000
I 0.5000 0.0000 0.5000
I 0.0000 0.5000 0.5000
Pr 0.5000 0.2161 0.1727
Pr 0.0000 0.7623 0.1780
Pr 0.0000 0.2377 0.8220

Entry 2:
Density functional theory data (PBE) for crystalline Pr8S3I4N at its relaxed geometry.

Results
Uncorrected formation energy: -1.39 eV per atom
DOS(E_F): 0.643 states/eV per atom
Magnetization: 0.0 μB/f.u.
Energy: -5.458 eV per atom

a b c (Å): 8.2186 9.1049 8.2191
angles (deg): 116.83 120.00 90.00
Positions (direct):
I 0.5000 0.0000 0.0000
Pr 0.2699 0.3099 0.5398
Pr 0.7546 0.6791 0.9669
I 0.0000 0.0000 0.0000
S 0.0000 0.5000 0.5000
Pr 0.2126 0.6793 0.4251
I 0.0000 0.0000 0.5000
S 0.5000 0.5000 0.0000
Pr 0.7874 0.3207 0.5749
S 0.5000 0.5000 0.5000
Pr 0.2123 0.6791 0.9669
Pr 0.2454 0.3209 0.0331
I 0.5000 0.0000 0.5000
Pr 0.7877 0.3209 0.0331
N 0.0000 0.5000 0.0000
Pr 0.7301 0.6901 0.4602

Entry 3:
Density functional theory data (PBE) for crystalline Pr4SI2N at its relaxed geometry.

Results
Uncorrected formation energy: -1.31 eV per atom
DOS(E_F): 0.482 states/eV per atom
Magnetization: 0.0 μB/f.u.
Energy: -5.647 eV per atom

a b c (Å): 4.0141 7.0862 8.0508
angles (deg): 106.61 90.00 90.00
Positions (direct):
Pr 0.0000 0.2992 0.8246
Pr 0.5000 0.7385 0.8241
Pr 0.5000 0.2615 0.1759
N 0.5000 0.5000 0.0000
Pr 0.0000 0.7008 0.1754
I 0.0000 0.5000 0.5000
S 0.0000 0.0000 0.0000
I 0.5000 0.0000 0.5000

Entry 4:
Density functional theory data (PBE) for crystalline Pr6S2I3N at its relaxed geometry.

Results
Uncorrected formation energy: -1.36 eV per atom
DOS(E_F): 0.514 states/eV per atom
Magnetization: 0.0 μB/f.u.
Energy: -5.523 eV per atom

a b c (Å): 7.1026 7.1026 8.0633
angles (deg): 98.45 98.45 119.96
Positions (direct):
Pr 0.3630 0.0599 0.1793
I 0.1696 0.8304 0.5000
Pr 0.0599 0.3630 0.1793
N 0.0000 0.0000 0.0000
Pr 0.9401 0.6370 0.8207
I 0.8304 0.1696 0.5000
Pr 0.6370 0.9401 0.8207
Pr 0.7566 0.7566 0.1804
Pr 0.2434 0.2434 0.8196
I 0.5000 0.5000 0.5000
S 0.6667 0.3333 0.0000
S 0.3333 0.6667 0.0000

Entry 5:
Density functional theory data (PBE) for crystalline Pr2ScI2N2 at its relaxed geometry.

Results
Uncorrected formation energy: -1.38 eV per atom
DOS(E_F): 0.197 states/eV per atom
Magnetization: 1.0 μB/f.u.
Energy: -6.476 eV per atom

a b c (Å): 4.3012 4.3012 10.3735
angles (deg): 101.97 101.97 90.00
Site moments in Bohr magnetons follow the coordinates.
Positions (direct):
N 0.0000 0.5000 0.0000  -0.01
Pr 0.4241 0.4241 0.8482  0.29
N 0.5000 0.0000 0.0000  -0.01
Pr 0.5759 0.5759 0.1518  0.29
Sc 0.0000 0.0000 0.0000  0.02
I 0.1612 0.1612 0.3225  0.01
I 0.8388 0.8388 0.6775  0.01

Entry 6:
Density functional theory data (PBE) for crystalline Pr2SeI2N at its relaxed geometry.

Results
Uncorrected formation energy: -1.28 eV per atom
DOS(E_F): 0.296 states/eV per atom
Magnetization: 1.0 μB/f.u.
Energy: -5.357 eV per atom

a b c (Å): 4.3580 7.7467 11.9170
angles (deg): 90.00 90.00 90.00
Site moments in Bohr magnetons follow the coordinates.
Positions (direct):
I 0.5000 0.3823 0.8704  0.08
Pr 0.5000 0.3476 0.4290  0.01
Pr 0.5000 0.8476 0.5710  0.01
I 0.0000 0.3515 0.2146  0.01
N 0.5000 0.1818 0.6099  0.46
N 0.5000 0.6818 0.3901  0.46
Se 0.0000 0.5513 0.5485  0.12
Pr 0.0000 0.2311 0.6919  0.01
I 0.0000 0.8515 0.7854  0.01
Se 0.0000 0.0513 0.4515  0.12
Pr 0.0000 0.7311 0.3081  0.01
I 0.5000 0.8823 0.1296  0.08

Entry 7:
Density functional theory data (PBE) for crystalline Pr8Si3I3N at its relaxed geometry.

Results
Uncorrected formation energy: -0.84 eV per atom
DOS(E_F): 0.719 states/eV per atom
Magnetization: 0.8 μB/f.u.
Energy: -5.341 eV per atom

a b c (Å): 8.4228 8.4240 9.2677
angles (deg): 117.03 90.00 120.01
Positions (direct):
Si 0.5000 0.5000 0.5000
N 0.0000 0.0000 0.5000
Pr 0.2371 0.0267 0.3164
Pr 0.7629 0.9733 0.6836
Pr 0.2104 0.9732 0.6836
Si 0.5000 0.0000 0.5000
Pr 0.7896 0.0268 0.3164
Pr 0.7327 0.4652 0.6976
Pr 0.2102 0.4205 0.6834
Si 0.0000 0.5000 0.5000
Pr 0.7898 0.5795 0.3166
Pr 0.2673 0.5348 0.3024
I 0.0000 0.0000 0.0000
I 0.0000 0.5000 0.0000
I 0.5000 0.5000 0.0000

Entry 8:
Density functional theory data (PBE) for crystalline TbPrIN at its relaxed geometry.

Results
Uncorrected formation energy: -1.21 eV per atom
DOS(E_F): 0.188 states/eV per atom
Magnetization: 0.0 μB/f.u.
Energy: -6.029 eV per atom

a b c (Å): 3.7611 3.7648 7.9171
angles (deg): 89.97 103.74 120.06
Positions (direct):
N 0.3242 0.5603 0.8998
Pr 0.5165 0.1560 0.6877
I 0.9587 0.3771 0.3511
Tb 0.0786 0.9374 0.0311